Record 1
Material: Li2Th2Ge3
Method: DFT, PBE-GGA
State: relaxed

Properties
**VASP energy**: -5.2461 eV/atom
**Symmetry**: Cmcm (63)
**Density of states at the Fermi level**: 0.476 states/eV/atom
**DFT formation energy**: -0.60 eV/atom

```
Li2Th2Ge3
1.0
2.2267 -9.3580 0.0000
2.2267 9.3580 0.0000
0.0000 0.0000 6.9502
Li Th Ge
4 4 6
Cartesian
2.2267 5.7953 3.9404
2.2267 5.7953 6.4849
2.2267 -5.7953 0.4653
2.2267 -5.7953 3.0098
2.2267 2.9035 5.2127
2.2267 0.9325 1.7376
2.2267 -0.9325 5.2127
2.2267 -2.9035 1.7376
2.2267 8.1525 0.4210
2.2267 8.1525 3.0541
2.2267 4.1304 1.7376
2.2267 -4.1304 5.2127
2.2267 -8.1525 3.8961
2.2267 -8.1525 6.5292
```


Record 2
Material: LiThGe2
Method: DFT, PBE-GGA
State: relaxed

Properties
**VASP energy**: -5.2260 eV/atom
**Symmetry**: Pnma (62)
**Density of states at the Fermi level**: 0.424 states/eV/atom
**DFT formation energy**: -0.58 eV/atom

```
LiThGe2
1.0
7.9587 0.0000 0.0000
0.0000 3.9788 0.0000
0.0000 0.0000 10.5766
Li Th Ge
4 4 8
Cartesian
0.1462 0.9947 1.0460
3.8332 2.9841 6.3343
4.1255 0.9947 4.2422
7.8125 2.9841 9.5305
1.0532 2.9841 3.8117
2.9262 0.9947 9.1000
5.0325 2.9841 1.4766
6.9055 0.9947 6.7649
1.2472 2.9841 7.3399
1.8576 2.9841 0.6426
2.1217 0.9947 5.9309
2.7321 0.9947 2.0517
5.2265 2.9841 8.5249
5.8369 2.9841 4.6457
6.1011 0.9947 9.9340
6.7115 0.9947 3.2366
```